# YIn3Cu8

A geometry-optimized YIn3Cu8 structure (PBE, Alexandria via LeMat-Bulk).

Computed properties:
- Distance to the lowest polymorph of the same formula: 0 meV per atom
- Crystal system: trigonal
- Calculated formation energy: -144 meV per atom

The structure in CIF format:
```
data_YIn3Cu8
_chemical_formula_sum 'Y3 In9 Cu24'
_cell_length_a 5.0751
_cell_length_b 5.0751
_cell_length_c 25.2590
_cell_angle_alpha 90.00
_cell_angle_beta 90.00
_cell_angle_gamma 120.00
_space_group_name_H-M_alt 'R 3 m'
_space_group_IT_number 160
_space_group_name_Hall 'R 3 -2"'
loop_
_atom_site_label
_atom_site_fract_x
_atom_site_fract_y
_atom_site_fract_z
Y1 0.0000 0.0000 0.0000
In1 0.0000 0.0000 0.1249
In2 0.0000 0.0000 0.5004
In3 0.0000 0.0000 0.6232
Cu1 0.0000 0.0000 0.3120
Cu2 0.0000 0.0000 0.8128
Cu3 0.0011 0.5006 0.0640
Cu4 0.1676 0.3352 0.8948
```